NbCrSi | PBE-GGA | optimized geometry Values from VASP.

Summary:
Space-group type: No. 107
Total magnetic moment in μB per formula unit: 0.00
Total DFT energy (no corrections) in eV/atom: -8.568
Volume in A^3/atom: 14.234

Structure (Quantum ESPRESSO input):
```
&SYSTEM
  ibrav = 0, nat = 3, ntyp = 3
/
ATOMIC_SPECIES
Cr 52.00 Cr.upf
Nb 92.91 Nb.upf
Si 28.09 Si.upf
ATOMIC_POSITIONS angstrom
Cr 1.585 1.585 3.748
Nb 1.585 1.585 0.956
Si 0.000 0.000 2.518
CELL_PARAMETERS angstrom
3.170 0.000 0.000
0.000 3.170 0.000
-1.585 -1.585 4.248
```